# 1
# CeTl2Sb

An optimized crystal structure of CeTl2Sb (PBE, Alexandria via LeMat-Bulk).

Properties
**Calculated volume**: 28.018 A^3/atom
**Formation energy from raw total energies**: -163.8 kJ/mol of formula units
**Total energy**: -16.49 eV for the cell shown
**Polymorph energy (0 for the lowest one)**: 0.000 eV/f.u.

a b c (Å): 5.135 4.672 4.672
angles (deg): 90.00 90.00 90.00
Site moments in Bohr magnetons follow the coordinates.
Sites, in units of the cell vectors:
Sb: 0.500 0.500 0.500  -0.02
Ce: 0.500 0.000 0.000  0.80
Tl: 0.000 0.500 0.000  0.01
Tl: 0.000 0.000 0.500  0.01

# 2
# ZrNbMoIr

An optimized crystal structure of ZrNbMoIr (PBE, Alexandria via LeMat-Bulk).

Properties
**Calculated volume**: 17.309 A^3/atom
**Formation energy**: -424 meV per atom
**Total energy**: -40.01 eV for the cell shown

a b c (Å): 4.609 4.609 4.609
angles (deg): 60.00 60.00 60.00
Sites, in units of the cell vectors:
Nb: 0.000 0.000 0.000
Ir: 0.250 0.250 0.250
Zr: 0.500 0.500 0.500
Mo: 0.750 0.750 0.750

# 3
# TiInTc3

An optimized crystal structure of TiInTc3 (PBE, Alexandria via LeMat-Bulk).

Properties
**Calculated volume**: 22.153 A^3/atom
**Formation energy**: 2175 meV per atom
**Total energy**: -30.86 eV for the cell shown
**Polymorph energy (0 for the lowest one)**: 5.185 eV/f.u.

a b c (Å): 4.802 4.802 4.802
angles (deg): 90.00 90.00 90.00
Site moments in Bohr magnetons follow the coordinates.
Sites, in units of the cell vectors:
Tc: 0.000 0.500 0.000  1.09
Tc: 0.500 0.000 0.000  0.80
Tc: 0.000 0.000 0.500  1.11
In: 0.000 0.000 0.000  0.00
Ti: 0.500 0.500 0.500  -0.52

Q: Which value of calculated volume does entry 2 give?
A: 17.309 A^3/atom